The following is a DFT calculation (PBE) of a geometry-optimized SiO2 structure. Values from VASP.

DOS(E_F), states/eV/cell: 0.000
Raw total energy, eV per cell: -236.68
Formation energy from raw total energies, meV/atom: -2776
Theoretical density, kg/m³: 1590
SG: Pmma, No. 51

```
&SYSTEM
  ibrav = 0, nat = 30, ntyp = 2
/
ATOMIC_SPECIES
Si 28.09 Si.upf
O 16.00 O.upf
CELL_PARAMETERS angstrom
6.470 0.000 0.000
0.000 6.963 0.000
0.000 0.000 13.927
ATOMIC_POSITIONS crystal
Si 0.499 0.000 0.885
Si 0.501 0.000 0.385
Si 0.501 0.000 0.115
Si 0.499 0.000 0.615
Si 0.260 0.269 0.750
Si 0.740 0.731 0.250
Si 0.740 0.269 0.250
Si 0.260 0.731 0.750
Si 0.879 0.000 0.750
Si 0.121 0.000 0.250
O 0.500 0.000 0.000
O 0.500 0.000 0.500
O 0.379 0.192 0.846
O 0.621 0.808 0.346
O 0.621 0.192 0.154
O 0.379 0.808 0.654
O 0.621 0.808 0.154
O 0.379 0.192 0.654
O 0.379 0.808 0.846
O 0.621 0.192 0.346
O 0.737 0.000 0.846
O 0.263 0.000 0.346
O 0.263 0.000 0.154
O 0.737 0.000 0.654
O 0.259 0.500 0.750
O 0.741 0.500 0.250
O 0.022 0.193 0.750
O 0.978 0.807 0.250
O 0.978 0.193 0.250
O 0.022 0.807 0.750
```



The following is a DFT calculation (PBE) of a geometry-optimized SiO2 structure. Values from VASP.

DOS(E_F), states/eV/cell: 0.000
Raw total energy, eV per cell: -189.52
Formation energy from raw total energies, meV/atom: -2784
Theoretical density, kg/m³: 2378
SG: Pccn, No. 56

```
&SYSTEM
  ibrav = 0, nat = 24, ntyp = 2
/
ATOMIC_SPECIES
Si 28.09 Si.upf
O 16.00 O.upf
CELL_PARAMETERS angstrom
-2.897 -1.478 3.475
3.444 -7.338 -0.249
5.827 2.534 5.935
ATOMIC_POSITIONS crystal
Si 0.137 0.063 0.160
Si 0.137 0.437 0.660
Si 0.637 0.563 0.840
Si 0.363 0.437 0.160
Si 0.863 0.563 0.340
Si 0.863 0.937 0.840
Si 0.637 0.937 0.340
Si 0.363 0.063 0.660
O 0.601 0.057 0.795
O 0.601 0.443 0.295
O 0.399 0.557 0.705
O 0.250 0.250 0.641
O 0.101 0.557 0.205
O 0.399 0.943 0.205
O 0.899 0.057 0.295
O 0.000 0.500 0.500
O 0.750 0.750 0.359
O 0.750 0.750 0.859
O 0.899 0.443 0.795
O 0.500 0.500 0.000
O 0.250 0.250 0.141
O 0.101 0.943 0.705
O 0.000 0.000 0.000
O 0.500 0.000 0.500
```



The following is a DFT calculation (PBE) of a geometry-optimized SiO2 structure. Values from VASP.

DOS(E_F), states/eV/cell: 0.000
Raw total energy, eV per cell: -118.34
Formation energy from raw total energies, meV/atom: -2776
Theoretical density, kg/m³: 1590
SG: P-4m2, No. 115

```
&SYSTEM
  ibrav = 0, nat = 15, ntyp = 2
/
ATOMIC_SPECIES
Si 28.09 Si.upf
O 16.00 O.upf
CELL_PARAMETERS angstrom
6.964 0.000 0.000
0.000 6.964 0.000
0.000 0.000 6.469
ATOMIC_POSITIONS crystal
Si 0.269 0.000 0.119
Si 0.000 0.731 0.881
Si 0.000 0.269 0.881
Si 0.731 0.000 0.119
Si 0.000 0.000 0.500
O 0.193 0.000 0.357
O 0.000 0.807 0.643
O 0.000 0.193 0.643
O 0.807 0.000 0.357
O 0.192 0.192 0.000
O 0.192 0.808 0.000
O 0.808 0.192 0.000
O 0.808 0.808 0.000
O 0.500 0.000 0.121
O 0.000 0.500 0.879
```



The following is a DFT calculation (PBE) of a geometry-optimized SiO2 structure. Values from VASP.

DOS(E_F), states/eV/cell: 0.000
Raw total energy, eV per cell: -186.03
Formation energy from raw total energies, meV/atom: -2638
Theoretical density, kg/m³: 2104
SG: C2, No. 5

```
&SYSTEM
  ibrav = 0, nat = 24, ntyp = 2
/
ATOMIC_SPECIES
Si 28.09 Si.upf
O 16.00 O.upf
CELL_PARAMETERS angstrom
4.829 0.001 0.001
2.414 7.612 -0.320
2.412 -0.447 10.342
ATOMIC_POSITIONS crystal
Si 0.953 0.371 0.613
Si 0.046 0.631 0.386
Si 0.438 0.130 0.887
Si 0.556 0.122 0.609
Si 0.563 0.870 0.113
Si 0.445 0.881 0.389
Si 0.215 0.620 0.111
Si 0.787 0.378 0.891
O 0.158 0.800 0.425
O 0.728 0.195 0.866
O 0.847 0.200 0.575
O 0.233 0.519 0.245
O 0.497 0.982 0.254
O 0.883 0.701 0.075
O 0.768 0.477 0.756
O 0.288 0.305 0.634
O 0.717 0.700 0.359
O 0.502 0.500 0.000
O 0.502 0.023 0.744
O 0.123 0.301 0.924
O 0.277 0.800 0.140
O 0.502 0.000 0.499
O 0.990 0.504 0.501
O 0.495 0.997 0.998
```



The following is a DFT calculation (PBE) of a geometry-optimized SiO2 structure. Values from VASP.

DOS(E_F), states/eV/cell: 0.000
Raw total energy, eV per cell: -186.94
Formation energy from raw total energies, meV/atom: -2676
Theoretical density, kg/m³: 2065
SG: C2/m, No. 12

```
&SYSTEM
  ibrav = 0, nat = 24, ntyp = 2
/
ATOMIC_SPECIES
Si 28.09 Si.upf
O 16.00 O.upf
CELL_PARAMETERS angstrom
2.826 0.014 0.005
1.355 11.686 -0.002
1.389 0.016 11.715
ATOMIC_POSITIONS crystal
Si 0.366 0.424 0.844
Si 0.743 0.310 0.203
Si 0.291 0.844 0.575
Si 0.634 0.576 0.156
Si 0.447 0.797 0.310
Si 0.553 0.203 0.690
Si 0.257 0.690 0.797
Si 0.709 0.156 0.425
O 0.838 0.408 0.916
O 0.253 0.084 0.408
O 0.747 0.916 0.592
O 0.464 0.332 0.740
O 0.294 0.269 0.141
O 0.618 0.212 0.552
O 0.706 0.731 0.859
O 0.297 0.740 0.667
O 0.162 0.592 0.084
O 0.936 0.859 0.270
O 0.536 0.668 0.260
O 0.330 0.552 0.789
O 0.703 0.260 0.333
O 0.382 0.788 0.448
O 0.670 0.448 0.211
O 0.064 0.141 0.730
```



The following is a DFT calculation (PBE) of a geometry-optimized SiO2 structure. Values from VASP.

DOS(E_F), states/eV/cell: 0.000
Raw total energy, eV per cell: -118.29
Formation energy from raw total energies, meV/atom: -2773
Theoretical density, kg/m³: 1555
SG: I-4m2, No. 119

```
&SYSTEM
  ibrav = 0, nat = 15, ntyp = 2
/
ATOMIC_SPECIES
Si 28.09 Si.upf
O 16.00 O.upf
CELL_PARAMETERS angstrom
-3.623 3.623 6.108
3.623 -3.623 6.108
3.623 3.623 -6.108
ATOMIC_POSITIONS crystal
Si 0.000 0.000 0.000
Si 0.788 0.994 0.206
Si 0.006 0.212 0.794
Si 0.418 0.212 0.206
Si 0.788 0.582 0.794
O 0.261 0.079 0.182
O 0.921 0.104 0.182
O 0.921 0.739 0.818
O 0.896 0.079 0.818
O 0.733 0.733 0.000
O 0.267 0.267 0.000
O 0.566 0.066 0.132
O 0.934 0.066 0.500
O 0.566 0.434 0.500
O 0.934 0.434 0.868
```



The following is a DFT calculation (PBE) of a geometry-optimized SiO2 structure. Values from VASP.

DOS(E_F), states/eV/cell: 0.000
Raw total energy, eV per cell: -94.94
Formation energy from raw total energies, meV/atom: -2799
Theoretical density, kg/m³: 2178
SG: P4_32_12, No. 96

```
&SYSTEM
  ibrav = 0, nat = 12, ntyp = 2
/
ATOMIC_SPECIES
Si 28.09 Si.upf
O 16.00 O.upf
CELL_PARAMETERS angstrom
-4.416 1.704 -1.851
-2.378 -4.049 1.944
-1.149 3.566 6.024
ATOMIC_POSITIONS crystal
Si 0.206 0.206 0.000
Si 0.294 0.706 0.750
Si 0.706 0.294 0.250
Si 0.794 0.794 0.500
O 0.594 0.741 0.674
O 0.406 0.259 0.174
O 0.741 0.594 0.326
O 0.241 0.906 0.924
O 0.259 0.406 0.826
O 0.094 0.759 0.576
O 0.906 0.241 0.076
O 0.759 0.094 0.424
```



The following is a DFT calculation (PBE) of a geometry-optimized SiO4 structure. Values from VASP.

DOS(E_F), states/eV/cell: 4.804
Polymorph energy (0 for the lowest one), meV/atom: 273
Raw total energy, eV per cell: -91.15
Formation energy from raw total energies, meV/atom: -1026
Theoretical density, kg/m³: 1945
SG: P1, No. 1

```
&SYSTEM
  ibrav = 0, nat = 15, ntyp = 2
/
ATOMIC_SPECIES
Si 28.09 Si.upf
O 16.00 O.upf
CELL_PARAMETERS angstrom
4.996 -0.245 0.018
-2.711 4.487 0.251
-0.415 -1.888 10.724
ATOMIC_POSITIONS crystal
Si 0.166 0.748 0.332
Si 0.165 0.521 0.002
Si 0.745 0.730 0.439
O 0.740 0.902 0.585
O 0.186 0.833 0.170
O 0.801 0.466 0.357
O 0.115 0.199 0.003
O 0.463 0.722 0.354
O 0.348 0.060 0.744
O 0.356 0.014 0.851
O 0.179 0.614 0.861
O 0.902 0.557 0.095
O 0.623 0.576 0.576
O 0.128 0.010 0.406
O 0.452 0.840 0.108
```